(1)
# Sc2Ag2Sb (PBE, relaxed)
# symmetry: No. 127
# Fermi-level density of states: 8.39 states/eV/cell
# formation energy (no corrections): -102 kJ/mol of formula units
# ΔE to the lowest computed polymorph: 134 meV/atom
# spin magnetization: 0.0 μB per formula unit
data_Sc2Ag2Sb
_chemical_formula_sum 'Sc4 Ag4 Sb2'
_space_group_name_H-M_alt 'P 1'
_space_group_IT_number 1
_space_group_name_Hall 'P 1'
_cell_length_a 7.773
_cell_length_b 7.773
_cell_length_c 3.722
_cell_angle_alpha 90.00
_cell_angle_beta 90.00
_cell_angle_gamma 90.00
loop_
_atom_site_label
_atom_site_type_symbol
_atom_site_fract_x
_atom_site_fract_y
_atom_site_fract_z
Sc1 Sc 0.162 0.338 0.000
Sc2 Sc 0.338 0.838 0.000
Sc3 Sc 0.662 0.162 0.000
Sc4 Sc 0.838 0.662 0.000
Ag1 Ag 0.131 0.631 0.500
Ag2 Ag 0.369 0.131 0.500
Ag3 Ag 0.631 0.869 0.500
Ag4 Ag 0.869 0.369 0.500
Sb1 Sb 0.000 0.000 0.000
Sb2 Sb 0.500 0.500 0.000

(2)
# CuHgI2 (PBE, relaxed)
# symmetry: No. 2
# formation energy (no corrections): -68 kJ/mol of formula units
# ΔE to the lowest computed polymorph: 0 meV/atom
# spin magnetization: 0.0 μB per formula unit
data_CuHgI2
_chemical_formula_sum 'Cu2 Hg2 I4'
_space_group_name_H-M_alt 'P 1'
_space_group_IT_number 1
_space_group_name_Hall 'P 1'
_cell_length_a 4.423
_cell_length_b 7.164
_cell_length_c 9.435
_cell_angle_alpha 74.12
_cell_angle_beta 89.83
_cell_angle_gamma 89.91
loop_
_atom_site_label
_atom_site_type_symbol
_atom_site_fract_x
_atom_site_fract_y
_atom_site_fract_z
Cu1 Cu 0.003 0.445 0.373
Cu2 Cu 0.997 0.555 0.627
Hg1 Hg 0.497 0.979 0.862
Hg2 Hg 0.503 0.021 0.138
I1 I 0.000 0.186 0.639
I2 I 0.000 0.814 0.361
I3 I 0.497 0.620 0.759
I4 I 0.503 0.380 0.241

(3)
# Ac3Pd4O12 (PBE, relaxed)
# symmetry: No. 204
# Fermi-level density of states: 6.42 states/eV/cell
# formation energy (no corrections): -2766 kJ/mol of formula units
# spin magnetization: 0.0 μB per formula unit
data_Ac3Pd4O12
_chemical_formula_sum 'Ac3 Pd4 O12'
_space_group_name_H-M_alt 'P 1'
_space_group_IT_number 1
_space_group_name_Hall 'P 1'
_cell_length_a 7.059
_cell_length_b 7.059
_cell_length_c 7.059
_cell_angle_alpha 109.47
_cell_angle_beta 109.47
_cell_angle_gamma 109.47
loop_
_atom_site_label
_atom_site_type_symbol
_atom_site_fract_x
_atom_site_fract_y
_atom_site_fract_z
Ac1 Ac 0.000 0.500 0.500
Ac2 Ac 0.500 0.000 0.500
Ac3 Ac 0.500 0.500 0.000
Pd1 Pd 0.000 0.000 0.500
Pd2 Pd 0.000 0.500 0.000
Pd3 Pd 0.500 0.000 0.000
Pd4 Pd 0.500 0.500 0.500
O1 O 0.060 0.298 0.762
O2 O 0.238 0.536 0.298
O3 O 0.238 0.940 0.702
O4 O 0.298 0.238 0.536
O5 O 0.298 0.762 0.060
O6 O 0.464 0.702 0.762
O7 O 0.536 0.298 0.238
O8 O 0.702 0.238 0.940
O9 O 0.702 0.762 0.464
O10 O 0.762 0.060 0.298
O11 O 0.762 0.464 0.702
O12 O 0.940 0.702 0.238

Question: What is the spin magnetization in the first record?
Answer: 0.0 μB per formula unit